# 1
Below is SrAcN2 after structural relaxation, with properties calculated at the PBE-GGA level.

**D(E_F)**: 0.865 states/eV per atom
**Formation energy without anion corrections**: -0.56 eV/atom

Unit cell a=6.8276 b=6.8276 c=6.8276 alpha=32.31 beta=32.31 gamma=32.31
Positions (direct):
Sr1 0.0000 0.0000 0.0000
Ac1 0.8282 0.8282 0.8282
N1 0.2356 0.2356 0.2356
N2 0.4152 0.4152 0.4152


# 2
Below is Sn2SeI2 after structural relaxation, with properties calculated at the PBE-GGA level.

**Formation energy without anion corrections**: -0.44 eV/atom

Unit cell a=12.0387 b=8.2409 c=8.2284 alpha=90.00 beta=108.88 gamma=90.00
Positions (direct):
Sn1 0.0194 0.0421 0.2487
Sn2 0.0194 0.4579 0.7487
Sn3 0.3264 0.5178 0.6250
Sn4 0.3264 0.9822 0.1250
Sn5 0.6736 0.0178 0.8750
Sn6 0.6736 0.4822 0.3750
Sn7 0.9806 0.5421 0.2513
Sn8 0.9806 0.9579 0.7513
Se1 0.1142 0.6795 0.5616
Se2 0.1142 0.8205 0.0616
Se3 0.8858 0.1795 0.9384
Se4 0.8858 0.3205 0.4384
I1 0.2065 0.1722 0.7534
I2 0.2065 0.3278 0.2534
I3 0.4328 0.7323 0.9536
I4 0.4328 0.7677 0.4536
I5 0.5672 0.2323 0.5464
I6 0.5672 0.2677 0.0464
I7 0.7935 0.6722 0.7466
I8 0.7935 0.8278 0.2466


# 3
Below is BaSn3Rh3 after structural relaxation, with properties calculated at the PBE-GGA level.

**D(E_F)**: 0.776 states/eV per atom
**DFT formation energy**: -0.354 eV/atom

Unit cell a=9.1574 b=9.1574 c=9.1574 alpha=46.78 beta=46.78 gamma=46.78
Positions (direct):
Ba1 0.1723 0.1723 0.1723
Ba2 0.8277 0.8277 0.8277
Sn1 0.1518 0.3108 0.7100
Sn2 0.2900 0.8482 0.6892
Sn3 0.3108 0.7100 0.1518
Sn4 0.6892 0.2900 0.8482
Sn5 0.7100 0.1518 0.3108
Sn6 0.8482 0.6892 0.2900
Rh1 0.0636 0.2798 0.5120
Rh2 0.2798 0.5120 0.0636
Rh3 0.4880 0.9364 0.7202
Rh4 0.5120 0.0636 0.2798
Rh5 0.7202 0.4880 0.9364
Rh6 0.9364 0.7202 0.4880